This record from OQMD describes a relaxed LiNdCdSe3 crystal. The functional is PBE-GGA.

a = 8.5577 Å, b = 4.1874 Å, c = 17.0635 Å
α = 90.00°, β = 90.00°, γ = 90.00°
With the nearest neighbours (Å) after each atom.
Element x y z (fractional)
Li: 0.1791 0.2500 0.1927  4 Se 2.76-2.95
Li: 0.3209 0.7500 0.6927  4 Se 2.76-2.95
Li: 0.6791 0.2500 0.3073  4 Se 2.76-2.95
Li: 0.8209 0.7500 0.8073  4 Se 2.76-2.95
Nd: 0.2210 0.2500 0.9636  7 Se 2.94-3.19
Nd: 0.2790 0.7500 0.4636  7 Se 2.94-3.19
Nd: 0.7210 0.2500 0.5364  7 Se 2.94-3.19
Nd: 0.7790 0.7500 0.0364  7 Se 2.94-3.19
Cd: 0.0306 0.2500 0.6727  4 Se 2.56-2.70
Cd: 0.4694 0.7500 0.1727  4 Se 2.56-2.70
Cd: 0.5306 0.2500 0.8273  4 Se 2.56-2.70
Cd: 0.9694 0.7500 0.3273  4 Se 2.56-2.70
Se: 0.0099 0.2500 0.4231  2 Cd 2.68
Se: 0.1220 0.7500 0.0740  3 Nd 2.94-3.00, 2 Li 2.95
Se: 0.2261 0.2500 0.7867  2 Cd 2.56-2.70, 2 Li 2.76
Se: 0.2739 0.7500 0.2867  2 Cd 2.56-2.70, 2 Li 2.76
Se: 0.3780 0.2500 0.5740  3 Nd 2.94-3.00, 2 Li 2.95
Se: 0.4901 0.7500 0.9231  2 Cd 2.68
Se: 0.5099 0.2500 0.0769  2 Cd 2.68
Se: 0.6220 0.7500 0.4260  3 Nd 2.94-3.00, 2 Li 2.95
Se: 0.7261 0.2500 0.7133  2 Cd 2.56-2.70, 2 Li 2.76
Se: 0.7739 0.7500 0.2133  2 Cd 2.56-2.70, 2 Li 2.76
Se: 0.8780 0.2500 0.9260  3 Nd 2.94-3.00, 2 Li 2.95
Se: 0.9901 0.7500 0.5769  2 Cd 2.68

Computed properties:
SG ... Pnma (62)
Offset from the most stable computed form ... 0.061 eV/atom


This record from OQMD describes a relaxed LiNdCdSe3 crystal. The functional is PBE-GGA.

a = 13.7329 Å, b = 4.1831 Å, c = 11.7207 Å
α = 90.00°, β = 90.00°, γ = 90.00°
With the nearest neighbours (Å) after each atom.
Element x y z (fractional)
Li: 0.2092 0.2500 0.1981  5 Se 2.70-2.87
Li: 0.2908 0.7500 0.6981  5 Se 2.70-2.87
Li: 0.7092 0.2500 0.3019  5 Se 2.70-2.87
Li: 0.7908 0.7500 0.8019  5 Se 2.70-2.87
Nd: 0.0434 0.7500 0.8523  6 Se 2.89-3.15
Nd: 0.4566 0.2500 0.3523  6 Se 2.89-3.15
Nd: 0.5434 0.7500 0.6477  6 Se 2.89-3.15
Nd: 0.9566 0.2500 0.1477  6 Se 2.89-3.15
Cd: 0.0393 0.2500 0.6013  4 Se 2.65-2.74
Cd: 0.4607 0.7500 0.1013  4 Se 2.65-2.74
Cd: 0.5393 0.2500 0.8987  4 Se 2.65-2.74
Cd: 0.9607 0.7500 0.3987  4 Se 2.65-2.74
Se: 0.0818 0.2500 0.3730  3 Cd 2.69-2.74, 1 Li 2.70
Se: 0.1004 0.7500 0.0894  2 Li 2.87, 3 Nd 2.89-2.96
Se: 0.1755 0.2500 0.7608  1 Cd 2.65, 2 Li 2.72
Se: 0.3245 0.7500 0.2609  1 Cd 2.65, 2 Li 2.72
Se: 0.3996 0.2500 0.5894  2 Li 2.87, 3 Nd 2.89-2.96
Se: 0.4182 0.7500 0.8730  3 Cd 2.69-2.74, 1 Li 2.70
Se: 0.5818 0.2500 0.1270  3 Cd 2.69-2.74, 1 Li 2.70
Se: 0.6004 0.7500 0.4106  2 Li 2.87, 3 Nd 2.89-2.96
Se: 0.6755 0.2500 0.7392  1 Cd 2.65, 2 Li 2.72
Se: 0.8245 0.7500 0.2392  1 Cd 2.65, 2 Li 2.72
Se: 0.8996 0.2500 0.9106  2 Li 2.87, 3 Nd 2.89-2.96
Se: 0.9182 0.7500 0.6270  3 Cd 2.69-2.74, 1 Li 2.70

Computed properties:
SG ... Pnma (62)
Offset from the most stable computed form ... 0.000 eV/atom


This record from OQMD describes a relaxed LiNdCdSe3 crystal. The functional is PBE-GGA.

a = 11.5793 Å, b = 4.2325 Å, c = 13.4510 Å
α = 90.00°, β = 90.00°, γ = 90.00°
With the nearest neighbours (Å) after each atom.
Element x y z (fractional)
Li: 0.1295 0.2500 0.0235  3 Se 2.67-2.74
Li: 0.3705 0.7500 0.5235  3 Se 2.67-2.74
Li: 0.6295 0.2500 0.4765  3 Se 2.67-2.74
Li: 0.8705 0.7500 0.9765  3 Se 2.67-2.74
Nd: 0.0216 0.2500 0.7429  6 Se 2.87-3.14
Nd: 0.4784 0.7500 0.2429  6 Se 2.87-3.14
Nd: 0.5216 0.2500 0.7571  6 Se 2.87-3.14
Nd: 0.9784 0.7500 0.2571  6 Se 2.87-3.14
Cd: 0.2245 0.2500 0.2925  4 Se 2.59-2.73
Cd: 0.2755 0.7500 0.7925  4 Se 2.59-2.73
Cd: 0.7245 0.2500 0.2075  4 Se 2.59-2.73
Cd: 0.7755 0.7500 0.7075  4 Se 2.59-2.73
Se: 0.0334 0.2500 0.3927  1 Cd 2.59, 2 Nd 2.87
Se: 0.0833 0.7500 0.9005  1 Cd 2.66, 3 Li 2.67-2.74
Se: 0.2270 0.7500 0.1648  2 Cd 2.73
Se: 0.2730 0.2500 0.6648  2 Cd 2.73
Se: 0.4167 0.2500 0.4005  1 Cd 2.66, 3 Li 2.67-2.74
Se: 0.4666 0.7500 0.8927  1 Cd 2.59, 2 Nd 2.87
Se: 0.5334 0.2500 0.1073  1 Cd 2.59, 2 Nd 2.87
Se: 0.5833 0.7500 0.5995  1 Cd 2.66, 3 Li 2.67-2.74
Se: 0.7270 0.7500 0.3352  2 Cd 2.73
Se: 0.7730 0.2500 0.8352  2 Cd 2.73
Se: 0.9167 0.2500 0.0995  1 Cd 2.66, 3 Li 2.67-2.74
Se: 0.9666 0.7500 0.6073  1 Cd 2.59, 2 Nd 2.87

Computed properties:
SG ... Pnma (62)
Offset from the most stable computed form ... 0.027 eV/atom


This record from OQMD describes a relaxed LiNdCdSe3 crystal. The functional is PBE-GGA.

a = 12.6635 Å, b = 4.1879 Å, c = 11.8993 Å
α = 90.00°, β = 90.00°, γ = 90.00°
With the nearest neighbours (Å) after each atom.
Element x y z (fractional)
Li: 0.1102 0.2500 0.0112  5 Se 2.68-2.98
Li: 0.3898 0.7500 0.5112  5 Se 2.68-2.98
Li: 0.6102 0.2500 0.4888  5 Se 2.68-2.98
Li: 0.8898 0.7500 0.9888  5 Se 2.68-2.98
Nd: 0.0461 0.2500 0.6776  6 Se 2.91-3.05
Nd: 0.4539 0.7500 0.1776  6 Se 2.91-3.05
Nd: 0.5461 0.2500 0.8224  6 Se 2.91-3.05
Nd: 0.9539 0.7500 0.3224  6 Se 2.91-3.05
Cd: 0.2359 0.2500 0.2852  4 Se 2.57-2.69
Cd: 0.2641 0.7500 0.7852  4 Se 2.57-2.69
Cd: 0.7359 0.2500 0.2148  4 Se 2.57-2.69
Cd: 0.7641 0.7500 0.7148  4 Se 2.57-2.69
Se: 0.0649 0.7500 0.8630  3 Li 2.68-2.80, 1 Cd 2.69
Se: 0.0808 0.2500 0.4250  1 Cd 2.57
Se: 0.2218 0.7500 0.1448  2 Cd 2.68, 1 Nd 2.96, 2 Li 2.98
Se: 0.2782 0.2500 0.6448  2 Cd 2.68, 1 Nd 2.96, 2 Li 2.98
Se: 0.4192 0.7500 0.9250  1 Cd 2.57
Se: 0.4351 0.2500 0.3630  3 Li 2.68-2.80, 1 Cd 2.69
Se: 0.5649 0.7500 0.6370  3 Li 2.68-2.80, 1 Cd 2.69
Se: 0.5808 0.2500 0.0750  1 Cd 2.57
Se: 0.7218 0.7500 0.3552  2 Cd 2.68, 1 Nd 2.96, 2 Li 2.98
Se: 0.7782 0.2500 0.8552  2 Cd 2.68, 1 Nd 2.96, 2 Li 2.98
Se: 0.9192 0.7500 0.5750  1 Cd 2.57
Se: 0.9351 0.2500 0.1370  3 Li 2.68-2.80, 1 Cd 2.69

Computed properties:
SG ... Pnma (62)
Offset from the most stable computed form ... 0.019 eV/atom


This record from OQMD describes a relaxed LiNdCdTe3 crystal. The functional is PBE-GGA.

a = 11.8508 Å, b = 4.4072 Å, c = 14.6149 Å
α = 90.00°, β = 90.00°, γ = 90.00°
With the nearest neighbours (Å) after each atom.
Element x y z (fractional)
Li: 0.2244 0.2500 0.0454  4 Te 3.03-3.35
Li: 0.2756 0.7500 0.5454  4 Te 3.03-3.35
Li: 0.7244 0.2500 0.4546  4 Te 3.03-3.35
Li: 0.7756 0.7500 0.9546  4 Te 3.03-3.35
Nd: 0.0051 0.7500 0.7466  6 Te 3.16-3.33
Nd: 0.4949 0.2500 0.2466  6 Te 3.16-3.33
Nd: 0.5051 0.7500 0.7534  6 Te 3.16-3.33
Nd: 0.9949 0.2500 0.2534  6 Te 3.16-3.33
Cd: 0.2467 0.7500 0.2305  4 Te 2.83-2.84
Cd: 0.2533 0.2500 0.7305  4 Te 2.83-2.84
Cd: 0.7467 0.7500 0.2695  4 Te 2.83-2.84
Cd: 0.7533 0.2500 0.7695  4 Te 2.83-2.84
Te: 0.0646 0.7500 0.1044  1 Cd 2.84, 2 Li 3.03
Te: 0.0747 0.2500 0.6023  1 Cd 2.83, 2 Nd 3.16
Te: 0.2465 0.2500 0.3533  2 Cd 2.84
Te: 0.2535 0.7500 0.8533  2 Cd 2.84
Te: 0.4253 0.7500 0.1023  1 Cd 2.83, 2 Nd 3.16
Te: 0.4354 0.2500 0.6044  1 Cd 2.84, 2 Li 3.03
Te: 0.5646 0.7500 0.3956  1 Cd 2.84, 2 Li 3.03
Te: 0.5747 0.2500 0.8977  1 Cd 2.83, 2 Nd 3.16
Te: 0.7465 0.2500 0.1467  2 Cd 2.84
Te: 0.7535 0.7500 0.6467  2 Cd 2.84
Te: 0.9253 0.7500 0.3977  1 Cd 2.83, 2 Nd 3.16
Te: 0.9354 0.2500 0.8956  1 Cd 2.84, 2 Li 3.03

Computed properties:
SG ... Pnma (62)
Energy ... -90.2 eV for the cell shown


This record from OQMD describes a relaxed LiNdCdTe3 crystal. The functional is PBE-GGA.

a = 7.5653 Å, b = 7.5653 Å, c = 11.8444 Å
α = 90.00°, β = 90.00°, γ = 146.30°
With the nearest neighbours (Å) after each atom.
Element x y z (fractional)
Li: 0.2118 0.7882 0.7500  6 Te 3.19-3.45, 2 Cd 3.53
Li: 0.7882 0.2118 0.2500  6 Te 3.19-3.45, 2 Cd 3.53
Nd: 0.0000 0.0000 0.0000  6 Te 3.18-3.33
Nd: 0.0000 0.0000 0.5000  6 Te 3.18-3.33
Cd: 0.4793 0.5207 0.2500  4 Te 2.82-2.84
Cd: 0.5207 0.4793 0.7500  4 Te 2.82-2.84
Te: 0.1045 0.8955 0.2500  2 Cd 2.84
Te: 0.3517 0.6483 0.0699  1 Cd 2.82
Te: 0.3517 0.6483 0.4301  1 Cd 2.82
Te: 0.6483 0.3517 0.5699  1 Cd 2.82
Te: 0.6483 0.3517 0.9301  1 Cd 2.82
Te: 0.8955 0.1045 0.7500  2 Cd 2.84

Computed properties:
SG ... Cmcm (63)
Energy ... -45.1 eV for the cell shown


This record from OQMD describes a relaxed Li2CdNi crystal. The functional is PBE-GGA.

a = 4.3659 Å, b = 4.3659 Å, c = 4.3659 Å
α = 60.00°, β = 60.00°, γ = 60.00°
With the nearest neighbours (Å) after each atom.
Element x y z (fractional)
Li: 0.0000 0.0000 0.0000  4 Ni 2.67, 4 Li 2.67
Li: 0.2500 0.2500 0.2500  4 Cd 2.67, 4 Li 2.67
Cd: 0.5000 0.5000 0.5000  4 Ni 2.67, 4 Li 2.67
Ni: 0.7500 0.7500 0.7500  4 Cd 2.67, 4 Li 2.67

Computed properties:
SG ... F-43m (216)
Energy ... -10.7 eV for the cell shown


This record from OQMD describes a relaxed LiCdNiPb crystal. The functional is PBE-GGA.

a = 4.5952 Å, b = 4.5952 Å, c = 4.5952 Å
α = 60.00°, β = 60.00°, γ = 60.00°
With the nearest neighbours (Å) after each atom.
Element x y z (fractional)
Li: 0.0000 0.0000 0.0000  4 Cd 2.81, 4 Pb 2.81
Cd: 0.7500 0.7500 0.7500  4 Li 2.81, 4 Ni 2.81
Ni: 0.5000 0.5000 0.5000  4 Cd 2.81, 4 Pb 2.81
Pb: 0.2500 0.2500 0.2500  4 Li 2.81, 4 Ni 2.81

Computed properties:
SG ... F-43m (216)
Energy ... -12.5 eV for the cell shown


This record from OQMD describes a relaxed Li2Cd2NiSn2Pd crystal. The functional is PBE-GGA.

a = 4.5487 Å, b = 4.5487 Å, c = 6.5125 Å
α = 90.00°, β = 90.00°, γ = 90.00°
With the nearest neighbours (Å) after each atom.
Element x y z (fractional)
Li: 0.0000 0.0000 0.0000  4 Sn 2.76, 4 Cd 2.76
Li: 0.5000 0.5000 0.5000  4 Cd 2.83, 4 Sn 2.84
Cd: 0.0000 0.5000 0.2405  4 Li 2.76-2.83, 2 Ni 2.76, 2 Pd 2.83
Cd: 0.5000 0.0000 0.7595  2 Ni 2.76, 4 Li 2.76-2.83, 2 Pd 2.83
Ni: 0.5000 0.5000 0.0000  4 Sn 2.76, 4 Cd 2.76
Sn: 0.0000 0.5000 0.7605  2 Ni 2.76, 4 Li 2.76-2.84, 2 Pd 2.84
Sn: 0.5000 0.0000 0.2395  4 Li 2.76-2.84, 2 Ni 2.76, 2 Pd 2.84
Pd: 0.0000 0.0000 0.5000  4 Cd 2.83, 4 Sn 2.84

Computed properties:
SG ... P-4m2 (115)
Energy ... -27.1 eV for the cell shown


This record from OQMD describes a relaxed Li4Cd2NiPt crystal. The functional is PBE-GGA.

a = 4.3845 Å, b = 4.3845 Å, c = 6.2322 Å
α = 90.00°, β = 90.00°, γ = 90.00°
With the nearest neighbours (Å) after each atom.
Element x y z (fractional)
Li: 0.0000 0.0000 0.0000  4 Li 2.68, 4 Cd 2.75
Li: 0.0000 0.5000 0.2484  4 Li 2.68-2.70, 2 Pt 2.68, 2 Ni 2.70
Li: 0.5000 0.0000 0.7516  4 Li 2.68-2.70, 2 Pt 2.68, 2 Ni 2.70
Li: 0.5000 0.5000 0.5000  4 Cd 2.63, 4 Li 2.70
Cd: 0.0000 0.5000 0.7323  4 Li 2.63-2.75, 2 Ni 2.63, 2 Pt 2.75
Cd: 0.5000 0.0000 0.2677  4 Li 2.63-2.75, 2 Ni 2.63, 2 Pt 2.75
Ni: 0.0000 0.0000 0.5000  4 Cd 2.63, 4 Li 2.70
Pt: 0.5000 0.5000 0.0000  4 Li 2.68, 4 Cd 2.75

Computed properties:
SG ... P-4m2 (115)
Energy ... -23.3 eV for the cell shown